VASP calculation (meta-GGA SCAN) on a crystal of TlSeCl2 relaxed with PBEsol.

Properties
The calculation puts the energy above the most stable polymorph in this dataset at 0.068 eV per atom. As for the formation energy from raw total energies: -0.230 eV/atom. The calculation puts the total magnetization at 0.0000 μB per atom.

```
4
Lattice="3.2836 0.0000 0.0000 1.6418 5.5839 0.0620 1.6418 2.1012 5.1738" Properties=species:S:1:pos:R:3 pbc="T T T"
Cl 3.2836 5.5723 3.7964
Se 1.6418 3.8425 2.6179
Cl 3.2836 2.1128 1.4394
Tl 1.6418 0.0000 0.0000
```